VASP calculation (PBE-GGA) on crystalline Sr2CaZr at its relaxed geometry.

```
4
Lattice="5.4466 0.0000 0.0000 0.0000 5.4028 0.0000 0.0000 0.0000 5.4028" Properties=species:S:1:pos:R:3 pbc="T T T"
Sr 0.0000 0.0000 0.0000
Zr 2.7233 2.7014 0.0000
Sr 0.0000 2.7014 2.7014
Ca 2.7233 0.0000 2.7014
```

Values from the calculation:
ΔE_f in kJ/mol of formula units: 185
Total magnetization in μB per cell: 2.78